The following is a DFT calculation (PBE) of RbPuPdSe2 after structural relaxation.

Output
ΔE_f (raw) ... -1023.6 meV/atom
Calculated volume ... 31.48 Å³/atom
M_tot ... 5.00 μB/f.u.
Uncorrected energy ... -6.516 eV/atom
N(E_F) ... 22.2 states/eV per cell

Unit cell a=8.3261 b=4.8627 c=7.9088 alpha=90.00 beta=100.52 gamma=90.00
Positions (direct):
Rb1 0.0000 0.1818 0.2500
Rb2 0.0000 0.8182 0.7500
Pu1 0.5000 0.4874 0.7500
Pu2 0.5000 0.5125 0.2500
Pd1 0.5000 0.0000 0.0000
Pd2 0.5000 0.0000 0.5000
Se1 0.2640 0.3162 0.9599
Se2 0.2640 0.6838 0.4599
Se3 0.7360 0.3162 0.5401
Se4 0.7360 0.6838 0.0401

The following is a DFT calculation (PBE) of Pu6Pd5Rh after structural relaxation.

Output
Calculated volume ... 21.51 Å³/atom
M_tot ... 33.11 μB/f.u.
Uncorrected energy ... -10.349 eV/atom
N(E_F) ... 54.6 states/eV per cell

Unit cell a=8.5674 b=8.5674 c=4.9395 alpha=106.73 beta=106.73 gamma=119.68
Positions (direct):
Pu1 0.0826 0.4069 0.7448
Pu2 0.2400 0.2400 0.2401
Pu3 0.4069 0.0826 0.7448
Pu4 0.5931 0.9174 0.2552
Pu5 0.7600 0.7600 0.7599
Pu6 0.9174 0.5931 0.2552
Pd1 0.1739 0.8261 0.0000
Pd2 0.3329 0.6671 0.5000
Pd3 0.5000 0.5000 0.0000
Pd4 0.6671 0.3329 0.5000
Pd5 0.8261 0.1739 0.0000
Rh1 0.0000 0.0000 0.5000

The following is a DFT calculation (PBE) of Pu5PdRh after structural relaxation.

Output
Calculated volume ... 22.81 Å³/atom
M_tot ... 17.07 μB/f.u.
Uncorrected energy ... -12.135 eV/atom
N(E_F) ... 29.4 states/eV per cell

Unit cell a=4.9152 b=4.9152 c=6.6100 alpha=90.00 beta=90.00 gamma=90.00
Positions (direct):
Pu1 0.0000 0.0000 0.0000
Pu2 0.0000 0.5000 0.2610
Pu3 0.0000 0.5000 0.7390
Pu4 0.5000 0.0000 0.2610
Pu5 0.5000 0.0000 0.7390
Pd1 0.5000 0.5000 0.0000
Rh1 0.0000 0.0000 0.5000

Q: The highest calculated volume belongs to which entry?
A: RbPuPdSe2

Q: Which value of N(E_F) does entry 1 give?
A: 22.2 states/eV per cell

Q: Which value of uncorrected energy does entry 3 give?
A: -12.135 eV/atom